Material: Mg5Pb
Method: DFT, PBEsol
State: optimized geometry

Electronic total energy = -12.7 eV per cell
Distance to the lowest polymorph of the same formula = 27 meV/atom

a b c (Å): 3.3054 6.0857 7.5937
angles (deg): 105.79 90.00 105.76
Atoms (fractional coordinates):
Mg1 0.3342 0.6684 0.6601
Mg2 0.9471 0.8942 0.3952
Mg3 0.6632 0.3265 0.3365
Mg4 0.6118 0.2237 0.7218
Mg5 0.9984 0.9967 0.9964
Pb1 0.2777 0.5554 0.0567